! VP2HF (PBE with a Hubbard U, optimized geometry); values from VASP
&SYSTEM
  ibrav = 0, nat = 5, ntyp = 4
/
ATOMIC_SPECIES
V 50.94 V.upf
P 30.97 P.upf
H 1.01 H.upf
F 19.00 F.upf
CELL_PARAMETERS angstrom
4.5311 0.0000 0.0000
0.0000 4.5311 0.0000
0.0000 0.0000 3.4040
ATOMIC_POSITIONS angstrom
V 0.0000 0.0000 0.0000
P 0.0000 2.2655 0.0000
P 2.2655 0.0000 0.0000
H 0.0000 0.0000 1.7020
F 2.2655 2.2655 1.7020
! Space group ... P4/mmm
! Crystal system ... tetragonal
! Electronic total energy ... -21.733 eV for the cell shown
! Size of the total moment ... 0.000 μB per formula unit
! Fermi-level density of states ... 2.440 states/eV per cell